No. 1
Y12Ru6Pb | Alexandria | PBE | relaxed; total energy = -7.507 eV per atom; volume = 25.5 Å³ per atom; ΔH_f (0 K) = -0.300 eV per atom; space-group type = Im-3
1.0
8.0810 0.0000 -2.8571
-4.0405 6.9983 -2.8571
0.0000 0.0000 8.5712
Y Ru Pb
12 6 1
direct
0.2970 0.1022 0.8052 Y
0.2970 0.4918 0.1948 Y
0.7030 0.5082 0.8052 Y
0.7030 0.8978 0.1948 Y
0.1022 0.8052 0.2970 Y
0.4918 0.1948 0.2970 Y
0.5082 0.8052 0.7030 Y
0.8978 0.1948 0.7030 Y
0.8052 0.2970 0.1022 Y
0.1948 0.2970 0.4918 Y
0.8052 0.7030 0.5082 Y
0.1948 0.7030 0.8978 Y
0.3771 0.5000 0.8771 Ru
0.6229 0.5000 0.1229 Ru
0.5000 0.8771 0.3771 Ru
0.5000 0.1229 0.6229 Ru
0.8771 0.3771 0.5000 Ru
0.1229 0.6229 0.5000 Ru
0.0000 0.0000 0.0000 Pb

***

No. 2
LaI | Alexandria | PBE | relaxed; total energy = -4.189 eV per atom; volume = 33.6 Å³ per atom; raw formation energy = -91.7 kJ/mol of atoms; space-group type = Fddd
1.0
9.0299 0.0000 0.0000
0.0000 9.3043 0.0000
0.0000 0.0000 12.8160
La I
16 16
direct
0.0000 0.7087 0.0000 La
0.0000 0.2913 0.0000 La
0.2500 0.0413 0.2500 La
0.2500 0.4587 0.2500 La
0.0000 0.2087 0.5000 La
0.0000 0.7913 0.5000 La
0.2500 0.5413 0.7500 La
0.2500 0.9587 0.7500 La
0.5000 0.7087 0.5000 La
0.5000 0.2913 0.5000 La
0.7500 0.0413 0.7500 La
0.7500 0.4587 0.7500 La
0.5000 0.2087 0.0000 La
0.5000 0.7913 0.0000 La
0.7500 0.5413 0.2500 La
0.7500 0.9587 0.2500 La
0.2122 0.0000 0.0000 I
0.7878 0.0000 0.0000 I
0.0378 0.7500 0.2500 I
0.4622 0.7500 0.2500 I
0.2122 0.5000 0.5000 I
0.7878 0.5000 0.5000 I
0.0378 0.2500 0.7500 I
0.4622 0.2500 0.7500 I
0.7122 0.0000 0.5000 I
0.2878 0.0000 0.5000 I
0.5378 0.7500 0.7500 I
0.9622 0.7500 0.7500 I
0.7122 0.5000 0.0000 I
0.2878 0.5000 0.0000 I
0.5378 0.2500 0.2500 I
0.9622 0.2500 0.2500 I

***

No. 3
YMnZn2 | Alexandria | PBE | relaxed; total energy = -4.494 eV per atom; volume = 18.6 Å³ per atom; ΔH_f (0 K) = 0.051 eV per atom; space-group type = F-43m
1.0
4.7179 0.0000 0.0000
2.3589 4.0858 0.0000
2.3589 1.3619 3.8521
Mn Y Zn
1 1 2
direct
0.5000 0.5000 0.5000 Mn
0.7500 0.7500 0.7500 Y
0.0000 0.0000 0.0000 Zn
0.2500 0.2500 0.2500 Zn

***

No. 4
LaMg3Zr | Alexandria | PBE | relaxed; total energy = -2.977 eV per atom; volume = 31.8 Å³ per atom; ΔH_f (0 K) = 0.675 eV per atom; space-group type = Pm-3m
1.0
-0.0772 -2.6828 4.7073
5.3599 0.6509 0.4588
-0.7926 4.6627 2.6444
Mg Zr La
3 1 1
direct
0.0000 0.5000 0.0000 Mg
0.0000 0.0000 0.5000 Mg
0.5000 0.0000 0.0000 Mg
0.0000 0.0000 0.0000 Zr
0.5000 0.5000 0.5000 La

***

No. 5
YNpTc4 | Alexandria | PBE | relaxed; total energy = -10.074 eV per atom; volume = 18.4 Å³ per atom; ΔH_f (0 K) = 0.071 eV per atom; space-group type = F-43m
1.0
5.3879 0.0000 0.0000
2.6940 4.6661 0.0000
2.6940 1.5554 4.3992
Np Y Tc
1 1 4
direct
0.2500 0.2500 0.2500 Np
0.0000 0.0000 0.0000 Y
0.6251 0.6251 0.1246 Tc
0.6251 0.1246 0.6251 Tc
0.6251 0.6251 0.6251 Tc
0.1246 0.6251 0.6251 Tc

***

No. 6
BaMgNi2 | Alexandria | PBE | relaxed; total energy = -3.437 eV per atom; volume = 20.6 Å³ per atom; ΔH_f (0 K) = 0.333 eV per atom; space-group type = Cmmm
1.0
4.9608 0.0748 0.0000
-0.0575 4.9611 0.0000
0.0000 0.0000 3.3518
Ba Mg Ni
1 1 2
direct
0.5000 0.0000 0.5000 Ba
0.0000 0.5000 0.5000 Mg
0.0000 0.0000 0.0000 Ni
0.5000 0.5000 0.0000 Ni

***

No. 7
RbSb2TeSe | Alexandria | PBE | relaxed; total energy = -3.019 eV per atom; volume = 36.2 Å³ per atom; raw formation energy = 14.4 kJ/mol of atoms; space-group type = P4/mmm
1.0
5.6320 0.0000 0.0000
0.0000 5.6320 0.0000
0.0000 0.0000 5.7104
Sb Te Se Rb
2 1 1 1
direct
0.0000 0.5000 0.0000 Sb
0.5000 0.0000 0.0000 Sb
0.0000 0.0000 0.5000 Te
0.0000 0.0000 0.0000 Se
0.5000 0.5000 0.5000 Rb

***

No. 8
Tb5Y3Er | Alexandria | PBE | relaxed; total energy = -4.702 eV per atom; volume = 36.6 Å³ per atom; ΔH_f (0 K) = 0.532 eV per atom; space-group type = C2/m
1.0
9.3363 -0.1213 1.7243
2.4392 9.0128 1.7243
5.4245 4.0960 9.3963
Tb Y Er
10 6 2
direct
0.8479 0.3444 0.2487 Tb
0.2560 0.7440 0.0000 Tb
0.8164 0.8164 0.9617 Tb
0.4890 0.4890 0.2351 Tb
0.5110 0.5110 0.7649 Tb
0.1836 0.1836 0.0383 Tb
0.3444 0.8479 0.2487 Tb
0.7440 0.2560 0.0000 Tb
0.1521 0.6556 0.7513 Tb
0.6556 0.1521 0.7513 Tb
0.6900 0.6900 0.8208 Y
0.6597 0.6597 0.3595 Y
0.0000 0.0000 0.0000 Y
0.0000 0.0000 0.5000 Y
0.3100 0.3100 0.1792 Y
0.3403 0.3403 0.6405 Y
0.1485 0.1485 0.5997 Er
0.8515 0.8515 0.4003 Er